# PBE BaCaIn, relaxed
data_BaCaIn
_chemical_formula_sum 'Ba1 Ca1 In1'
_cell_length_a 5.7627
_cell_length_b 5.7627
_cell_length_c 4.1185
_cell_angle_alpha 90.00
_cell_angle_beta 90.00
_cell_angle_gamma 120.00
_space_group_name_H-M_alt 'P -6 m 2'
_space_group_IT_number 187
_space_group_name_Hall 'P -6 2'
loop_
_atom_site_label
_atom_site_fract_x
_atom_site_fract_y
_atom_site_fract_z
Ba1 0.0000 0.0000 0.0000
Ca1 0.6667 0.3333 0.5000
In1 0.3333 0.6667 0.5000
# E ... -2.452 eV/atom
# Total magnetic moment ... 0.000 μB/atom
# Crystal system ... hexagonal


# PBE TaAsNF2, relaxed
data_TaAsNF2
_chemical_formula_sum 'Ta1 As1 N1 F2'
_cell_length_a 3.859
_cell_length_b 3.859
_cell_length_c 4.974
_cell_angle_alpha 90.00
_cell_angle_beta 90.00
_cell_angle_gamma 90.00
_space_group_name_H-M_alt 'P 4/m m m'
_space_group_IT_number 123
_space_group_name_Hall '-P 4 2'
loop_
_atom_site_label
_atom_site_fract_x
_atom_site_fract_y
_atom_site_fract_z
Ta1 0.000 0.000 0.000
As1 0.500 0.500 0.500
N1 0.500 0.500 0.000
F1 0.000 0.500 0.500
# E ... -5.358 eV/atom
# Total magnetic moment ... 0.560 μB/atom
# Crystal system ... tetragonal
# Relative energy among the computed polymorphs ... 1192 meV per atom


# PBE Mn2CoAu, relaxed
data_Mn2CoAu
_chemical_formula_sum 'Mn6 Co3 Au3'
_cell_length_a 2.7404
_cell_length_b 2.7404
_cell_length_c 25.2646
_cell_angle_alpha 90.00
_cell_angle_beta 90.00
_cell_angle_gamma 120.00
_space_group_name_H-M_alt 'R 3 m'
_space_group_IT_number 160
_space_group_name_Hall 'R 3 -2"'
loop_
_atom_site_label
_atom_site_fract_x
_atom_site_fract_y
_atom_site_fract_z
Mn1 0.0000 0.0000 0.0000
Mn2 0.0000 0.0000 0.2543
Co1 0.0000 0.0000 0.5166
Au1 0.0000 0.0000 0.7589
# E ... -6.868 eV/atom
# Total magnetic moment ... 1.573 μB/atom
# Crystal system ... trigonal
# Relative energy among the computed polymorphs ... 295 meV per atom


# PBE BaTa3S, relaxed
data_BaTa3S
_chemical_formula_sum 'Ba1 Ta3 S1'
_cell_length_a 4.800
_cell_length_b 4.800
_cell_length_c 4.800
_cell_angle_alpha 90.00
_cell_angle_beta 90.00
_cell_angle_gamma 90.00
_space_group_name_H-M_alt 'P m -3 m'
_space_group_IT_number 221
_space_group_name_Hall '-P 4 2 3'
loop_
_atom_site_label
_atom_site_fract_x
_atom_site_fract_y
_atom_site_fract_z
Ba1 0.000 0.000 0.000
Ta1 0.000 0.500 0.500
S1 0.500 0.500 0.500
# E ... -7.653 eV/atom
# Total magnetic moment ... 0.000 μB/atom
# Crystal system ... cubic
# Relative energy among the computed polymorphs ... 0 meV per atom


# PBE BeBiPt3, relaxed
data_BeBiPt3
_chemical_formula_sum 'Be3 Bi3 Pt9'
_cell_length_a 5.5186
_cell_length_b 5.5186
_cell_length_c 10.5155
_cell_angle_alpha 90.00
_cell_angle_beta 90.00
_cell_angle_gamma 120.00
_space_group_name_H-M_alt 'R 3 m'
_space_group_IT_number 160
_space_group_name_Hall 'R 3 -2"'
loop_
_atom_site_label
_atom_site_fract_x
_atom_site_fract_y
_atom_site_fract_z
Be1 0.0000 0.0000 0.0000
Bi1 0.0000 0.0000 0.5930
Pt1 0.1678 0.3356 0.8318
# E ... -5.427 eV/atom
# Total magnetic moment ... 0.000 μB/atom
# Crystal system ... trigonal
# Relative energy among the computed polymorphs ... 151 meV per atom


# PBE La3Tb2YSe6, relaxed
data_La3Tb2YSe6
_chemical_formula_sum 'La6 Tb4 Y2 Se12'
_cell_length_a 7.220
_cell_length_b 12.548
_cell_length_c 7.353
_cell_angle_alpha 90.00
_cell_angle_beta 109.19
_cell_angle_gamma 90.00
_space_group_name_H-M_alt 'C 1 2/m 1'
_space_group_IT_number 12
_space_group_name_Hall '-C 2y'
loop_
_atom_site_label
_atom_site_fract_x
_atom_site_fract_y
_atom_site_fract_z
La1 0.000 0.000 0.000
La2 0.000 0.333 0.000
Tb1 0.000 0.167 0.500
Y1 0.000 0.500 0.500
Se1 0.244 0.334 0.732
Se2 0.245 0.000 0.733
# E ... -6.178 eV/atom
# Total magnetic moment ... 0.000 μB/atom
# Crystal system ... monoclinic


# PBE LaDyHo5Th2, relaxed
data_LaDyHo5Th2
_chemical_formula_sum 'La4 Dy4 Ho20 Th8'
_cell_length_a 8.759
_cell_length_b 8.759
_cell_length_c 15.490
_cell_angle_alpha 90.00
_cell_angle_beta 90.00
_cell_angle_gamma 90.00
_space_group_name_H-M_alt 'I 4/m c m'
_space_group_IT_number 140
_space_group_name_Hall '-I 4 2c'
loop_
_atom_site_label
_atom_site_fract_x
_atom_site_fract_y
_atom_site_fract_z
La1 0.000 0.500 0.250
Dy1 0.000 0.000 0.250
Ho1 0.000 0.000 0.000
Ho2 0.207 0.293 0.139
Th1 0.119 0.381 0.500
# E ... -4.929 eV/atom
# Total magnetic moment ... 0.000 μB/atom
# Crystal system ... tetragonal


# PBE HoErCd3, relaxed
data_HoErCd3
_chemical_formula_sum 'Ho4 Er4 Cd12'
_cell_length_a 5.705
_cell_length_b 5.705
_cell_length_c 21.654
_cell_angle_alpha 90.00
_cell_angle_beta 90.00
_cell_angle_gamma 90.00
_space_group_name_H-M_alt 'I -4 m 2'
_space_group_IT_number 119
_space_group_name_Hall 'I -4 -2'
loop_
_atom_site_label
_atom_site_fract_x
_atom_site_fract_y
_atom_site_fract_z
Ho1 0.000 0.000 0.000
Ho2 0.000 0.500 0.250
Er1 0.000 0.000 0.418
Cd1 0.000 0.247 0.126
Cd2 0.000 0.500 0.528
# E ... -2.081 eV/atom
# Total magnetic moment ... 0.000 μB/atom
# Crystal system ... tetragonal
# Relative energy among the computed polymorphs ... 577 meV per atom